Record 1
# Pr4Pt2Au5 GGA-PBE optimized geometry
data_Pr4Pt2Au5
_space_group_name_H-M_alt 'P 1'
_space_group_IT_number 1
_cell_length_a 3.918
_cell_length_b 7.584
_cell_length_c 9.027
_cell_angle_alpha 92.88
_cell_angle_beta 90.00
_cell_angle_gamma 90.00
loop_
_space_group_symop_operation_xyz
'x,y,z'
loop_
_atom_site_label
_atom_site_fract_x
_atom_site_fract_y
_atom_site_fract_z
_atom_site_occupancy
Au1 0.000 0.553 0.338 1
Au2 0.000 0.447 0.662 1
Au3 0.000 0.843 0.871 1
Au4 0.000 0.500 0.000 1
Au5 0.000 0.157 0.129 1
Pr1 0.500 0.209 0.861 1
Pr2 0.500 0.243 0.411 1
Pr3 0.500 0.791 0.139 1
Pr4 0.500 0.757 0.589 1
Pt1 0.000 0.073 0.641 1
Pt2 0.000 0.927 0.359 1
# Energy of formation from the pure elements = -0.84 eV/atom
# M_tot = 0.0 Bohr magnetons per cell

---

Record 2
# PrPt6Au6 GGA-PBE optimized geometry
data_PrPt6Au6
_space_group_name_H-M_alt 'P 1'
_space_group_IT_number 1
_cell_length_a 5.520
_cell_length_b 7.162
_cell_length_c 7.162
_cell_angle_alpha 80.99
_cell_angle_beta 67.33
_cell_angle_gamma 67.33
loop_
_space_group_symop_operation_xyz
'x,y,z'
loop_
_atom_site_label
_atom_site_fract_x
_atom_site_fract_y
_atom_site_fract_z
_atom_site_occupancy
Au1 0.692 0.808 0.808 1
Au2 0.308 0.192 0.192 1
Au3 0.655 0.345 0.345 1
Au4 0.000 0.666 0.334 1
Au5 0.000 0.334 0.666 1
Au6 0.345 0.655 0.655 1
Pr1 0.000 0.000 0.000 1
Pt1 0.000 0.000 0.500 1
Pt2 0.000 0.500 0.000 1
Pt3 0.500 0.766 0.234 1
Pt4 0.500 0.234 0.766 1
Pt5 0.500 0.000 0.500 1
Pt6 0.500 0.500 0.000 1
# Energy of formation from the pure elements = -0.26 eV/atom
# M_tot = 0.0 Bohr magnetons per cell